(1)
VASP calculation (PBE) on an optimized crystal structure of Ba2In2Ag.

Structure (CIF):
```
data_Ba2In2Ag
_cell_length_a 6.888
_cell_length_b 6.888
_cell_length_c 8.371
_cell_angle_alpha 90.00
_cell_angle_beta 90.00
_cell_angle_gamma 90.00
_space_group_name_H-M_alt 'I 4/m m m'
_space_group_IT_number 139
_space_group_name_Hall '-I 4 2'
loop_
_atom_site_label
_atom_site_fract_x
_atom_site_fract_y
_atom_site_fract_z
_atom_site_occupancy
Ba1 0.000 0.500 0.250 1
In1 0.000 0.000 0.163 1
Ag1 0.000 0.000 0.500 1
```

Crystal system ... tetragonal
DFT formation energy ... -48.8 kJ/mol of formula units
Electronic total energy ... -25.4 eV/cell
E above lowest polymorph ... 255.4 meV/atom

(2)
VASP calculation (PBE) on an optimized crystal structure of BeC.

Structure (CIF):
```
data_BeC
_cell_length_a 6.328
_cell_length_b 6.328
_cell_length_c 3.590
_cell_angle_alpha 90.00
_cell_angle_beta 90.00
_cell_angle_gamma 90.00
_space_group_name_H-M_alt 'P 4/m'
_space_group_IT_number 83
loop_
_space_group_symop_operation_xyz
'x,y,z'
'-x,-y,-z'
'-y,x,z'
'y,-x,-z'
'-x,-y,z'
'x,y,-z'
'y,-x,z'
'-y,x,-z'
loop_
_atom_site_label
_atom_site_fract_x
_atom_site_fract_y
_atom_site_fract_z
_atom_site_occupancy
Be1 0.123 0.356 0.000 1
Be2 0.259 0.725 0.500 1
C1 0.115 0.485 0.500 1
C2 0.157 0.678 0.000 1
```

Crystal system ... tetragonal
DFT formation energy ... 185.6 kJ/mol of formula units
Electronic total energy ... -88.2 eV/cell
E above lowest polymorph ... 642.4 meV/atom

(3)
VASP calculation (PBE) on an optimized crystal structure of Tb6Pm2Sm3Ho.

Structure (CIF):
```
data_Tb6Pm2Sm3Ho
_cell_length_a 6.219
_cell_length_b 10.766
_cell_length_c 11.886
_cell_angle_alpha 90.00
_cell_angle_beta 100.01
_cell_angle_gamma 90.00
_space_group_name_H-M_alt 'C 1 2/m 1'
_space_group_IT_number 12
loop_
_space_group_symop_operation_xyz
'x,y,z'
'-x,-y,-z'
'-x,y,-z'
'x,-y,z'
'x+1/2,y+1/2,z'
'-x+1/2,-y+1/2,-z'
'-x+1/2,y+1/2,-z'
'x+1/2,-y+1/2,z'
loop_
_atom_site_label
_atom_site_fract_x
_atom_site_fract_y
_atom_site_fract_z
_atom_site_occupancy
Tb1 0.249 0.000 0.250 1
Tb2 0.250 0.166 0.750 1
Pm1 0.000 0.333 0.500 1
Sm1 0.000 0.167 0.000 1
Sm2 0.000 0.500 0.000 1
Ho1 0.000 0.000 0.500 1
```

Crystal system ... monoclinic
DFT formation energy ... 15.0 kJ/mol of formula units
Electronic total energy ... -111.7 eV/cell

(4)
VASP calculation (PBE) on an optimized crystal structure of Ce5PuBi6.

Structure (CIF):
```
data_Ce5PuBi6
_cell_length_a 7.959
_cell_length_b 13.784
_cell_length_c 7.961
_cell_angle_alpha 90.00
_cell_angle_beta 109.47
_cell_angle_gamma 90.00
_space_group_name_H-M_alt 'C 1 2/m 1'
_space_group_IT_number 12
loop_
_space_group_symop_operation_xyz
'x,y,z'
'-x,-y,-z'
'-x,y,-z'
'x,-y,z'
'x+1/2,y+1/2,z'
'-x+1/2,-y+1/2,-z'
'-x+1/2,y+1/2,-z'
'x+1/2,-y+1/2,z'
loop_
_atom_site_label
_atom_site_fract_x
_atom_site_fract_y
_atom_site_fract_z
_atom_site_occupancy
Ce1 0.000 0.000 0.000 1
Ce2 0.000 0.167 0.500 1
Ce3 0.000 0.333 0.000 1
Pu1 0.000 0.500 0.500 1
Bi1 0.250 0.000 0.750 1
Bi2 0.250 0.166 0.250 1
```

Crystal system ... monoclinic
DFT formation energy ... -819.6 kJ/mol of formula units
Electronic total energy ... -151.6 eV/cell

(5)
VASP calculation (PBE) on an optimized crystal structure of Sb2AsBr.

Structure (CIF):
```
data_Sb2AsBr
_cell_length_a 3.764
_cell_length_b 3.764
_cell_length_c 7.638
_cell_angle_alpha 90.00
_cell_angle_beta 90.00
_cell_angle_gamma 90.00
_space_group_name_H-M_alt 'P 4 m m'
_space_group_IT_number 99
loop_
_space_group_symop_operation_xyz
'x,y,z'
'-y,x,z'
'-x,-y,z'
'y,-x,z'
'-x,y,z'
'y,x,z'
'x,-y,z'
'-y,-x,z'
loop_
_atom_site_label
_atom_site_fract_x
_atom_site_fract_y
_atom_site_fract_z
_atom_site_occupancy
Sb1 0.000 0.000 0.000 1
Sb2 0.500 0.500 0.245 1
As1 0.000 0.000 0.391 1
Br1 0.500 0.500 0.729 1
```

Crystal system ... tetragonal
Formation energy (no corrections) ... 0.093 eV/atom
Electronic total energy ... -14.2 eV/cell
E above lowest polymorph ... 145.8 meV/atom

(6)
VASP calculation (PBE) on an optimized crystal structure of CuTc.

Structure (CIF):
```
data_CuTc
_cell_length_a 4.937
_cell_length_b 4.937
_cell_length_c 4.937
_cell_angle_alpha 90.00
_cell_angle_beta 90.00
_cell_angle_gamma 90.00
_space_group_name_H-M_alt 'F m -3 m'
_space_group_IT_number 225
_space_group_name_Hall '-F 4 2 3'
loop_
_atom_site_label
_atom_site_fract_x
_atom_site_fract_y
_atom_site_fract_z
_atom_site_occupancy
Cu1 0.000 0.000 0.000 1
Tc1 0.000 0.000 0.500 1
```

Crystal system ... cubic
DFT formation energy ... 238.7 kJ/mol of formula units
Electronic total energy ... -48.0 eV/cell
E above lowest polymorph ... 1143.8 meV/atom

(7)
VASP calculation (PBE) on an optimized crystal structure of YAlSe4.

Structure (CIF):
```
data_YAlSe4
_cell_length_a 8.193
_cell_length_b 8.193
_cell_length_c 8.193
_cell_angle_alpha 90.00
_cell_angle_beta 90.00
_cell_angle_gamma 90.00
_space_group_name_H-M_alt 'F -4 3 m'
_space_group_IT_number 216
_space_group_name_Hall 'F -4 2 3'
loop_
_atom_site_label
_atom_site_fract_x
_atom_site_fract_y
_atom_site_fract_z
_atom_site_occupancy
Y1 0.000 0.000 0.000 1
Al1 0.250 0.250 0.750 1
Se1 0.125 0.125 0.375 1
```

Crystal system ... cubic
Formation energy (no corrections) ... 0.054 eV/atom
Electronic total energy ... -95.3 eV/cell

(8)
VASP calculation (PBE) on an optimized crystal structure of VFeB3.

Structure (CIF):
```
data_VFeB3
_cell_length_a 3.679
_cell_length_b 3.679
_cell_length_c 3.679
_cell_angle_alpha 90.00
_cell_angle_beta 90.00
_cell_angle_gamma 90.00
_space_group_name_H-M_alt 'P m -3 m'
_space_group_IT_number 221
_space_group_name_Hall '-P 4 2 3'
loop_
_atom_site_label
_atom_site_fract_x
_atom_site_fract_y
_atom_site_fract_z
_atom_site_occupancy
V1 0.000 0.000 0.000 1
Fe1 0.500 0.500 0.500 1
B1 0.000 0.500 0.500 1
```

Crystal system ... cubic
DFT formation energy ... 306.9 kJ/mol of formula units
Electronic total energy ... -34.4 eV/cell

(9)
VASP calculation (PBE) on an optimized crystal structure of KVRhCl6.

Structure (CIF):
```
data_KVRhCl6
_cell_length_a 6.2995
_cell_length_b 6.2995
_cell_length_c 7.0614
_cell_angle_alpha 90.00
_cell_angle_beta 90.00
_cell_angle_gamma 120.00
_space_group_name_H-M_alt 'P 3 1 2'
_space_group_IT_number 149
loop_
_space_group_symop_operation_xyz
'x,y,z'
'-y,x-y,z'
'-x+y,-x,z'
'-y,-x,-z'
'-x+y,y,-z'
'x,x-y,-z'
loop_
_atom_site_label
_atom_site_fract_x
_atom_site_fract_y
_atom_site_fract_z
_atom_site_occupancy
K1 0.0000 0.0000 0.0000 1
V1 0.3333 0.6667 0.5000 1
Rh1 0.6667 0.3333 0.5000 1
Cl1 0.3648 0.0036 0.6906 1
```

Crystal system ... trigonal
Formation energy (no corrections) ... -1.123 eV/atom
Electronic total energy ... -38.8 eV/cell

(10)
VASP calculation (PBE) on an optimized crystal structure of TlRh2W.

Structure (CIF):
```
data_TlRh2W
_cell_length_a 5.924
_cell_length_b 7.632
_cell_length_c 2.901
_cell_angle_alpha 90.00
_cell_angle_beta 90.00
_cell_angle_gamma 90.00
_space_group_name_H-M_alt 'C m m m'
_space_group_IT_number 65
_space_group_name_Hall '-C 2 2'
loop_
_atom_site_label
_atom_site_fract_x
_atom_site_fract_y
_atom_site_fract_z
_atom_site_occupancy
Tl1 0.000 0.000 0.000 1
Rh1 0.250 0.250 0.500 1
W1 0.000 0.500 0.000 1
```

Crystal system ... orthorhombic
DFT formation energy ... 99.3 kJ/mol of formula units
Electronic total energy ... -58.0 eV/cell
E above lowest polymorph ... 271.5 meV/atom

(11)
VASP calculation (PBE) on an optimized crystal structure of NdErLu2.

Structure (CIF):
```
data_NdErLu2
_cell_length_a 7.945
_cell_length_b 7.945
_cell_length_c 7.945
_cell_angle_alpha 90.00
_cell_angle_beta 90.00
_cell_angle_gamma 90.00
_space_group_name_H-M_alt 'F m -3 m'
_space_group_IT_number 225
_space_group_name_Hall '-F 4 2 3'
loop_
_atom_site_label
_atom_site_fract_x
_atom_site_fract_y
_atom_site_fract_z
_atom_site_occupancy
Nd1 0.000 0.000 0.000 1
Er1 0.000 0.000 0.500 1
Lu1 0.250 0.250 0.250 1
```

Crystal system ... cubic
DFT formation energy ... 38.6 kJ/mol of formula units
Electronic total energy ... -71.9 eV/cell
E above lowest polymorph ... 68.1 meV/atom

(12)
VASP calculation (PBE) on an optimized crystal structure of HoPd4Pt5.

Structure (CIF):
```
data_HoPd4Pt5
_cell_length_a 8.165
_cell_length_b 9.291
_cell_length_c 4.707
_cell_angle_alpha 90.00
_cell_angle_beta 90.00
_cell_angle_gamma 90.00
_space_group_name_H-M_alt 'P m m n'
_space_group_IT_number 59
loop_
_space_group_symop_operation_xyz
'x,y,z'
'-x,-y,-z'
'-x+1/2,-y+1/2,z'
'x+1/2,y+1/2,-z'
'x+1/2,-y,-z'
'-x+1/2,y,z'
'-x,y+1/2,-z'
'x,-y+1/2,z'
loop_
_atom_site_label
_atom_site_fract_x
_atom_site_fract_y
_atom_site_fract_z
_atom_site_occupancy
Ho1 0.250 0.250 0.088 1
Pd1 0.060 0.750 0.611 1
Pd2 0.250 0.502 0.742 1
Pt1 0.079 0.513 0.248 1
Pt2 0.250 0.750 0.093 1
```

Crystal system ... orthorhombic
DFT formation energy ... -274.7 kJ/mol of formula units
Electronic total energy ... -116.8 eV/cell

| no. | spin magnetization (μB/f.u.) |
| --- | --- |
| 1 | 0.00 |
| 2 | 0.00 |
| 3 | 0.00 |
| 4 | 1.50 |
| 5 | 0.00 |
| 6 | 0.63 |
| 7 | 0.00 |
| 8 | 2.31 |
| 9 | 3.02 |
| 10 | 0.00 |
| 11 | 0.00 |
| 12 | 0.00 |